(1)
RhAuN2 | PBE | relaxed

Calculated values
V: 112.0 Å³/cell
Formation energy from raw total energies: 1040 meV/atom
Density of states at the Fermi level: 5.0 states/eV/cell
Spin magnetization: 0.00 μB per cell
Energy above the most stable polymorph in this dataset: 1.12 eV/f.u.

```
data_RhAuN2
_chemical_formula_sum 'Rh2 Au2 N4'
_cell_length_a 5.790
_cell_length_b 5.790
_cell_length_c 5.790
_cell_angle_alpha 129.74
_cell_angle_beta 129.74
_cell_angle_gamma 73.82
_space_group_name_H-M_alt 'P 1'
_space_group_IT_number 1
_space_group_name_Hall 'P 1'
loop_
_atom_site_label
_atom_site_type_symbol
_atom_site_fract_x
_atom_site_fract_y
_atom_site_fract_z
_atom_site_occupancy
Rh1 Rh 0.000 0.000 0.000 1
Rh2 Rh 0.750 0.250 0.500 1
Au1 Au 0.250 0.750 0.500 1
Au2 Au 0.500 0.500 0.000 1
N1 N 0.075 0.625 0.950 1
N2 N 0.375 0.325 0.450 1
N3 N 0.675 0.125 0.050 1
N4 N 0.875 0.925 0.550 1
```

---

(2)
SmHgBi | PBE | relaxed

Calculated values
V: 173.0 Å³/cell
Density of states at the Fermi level: 3.9 states/eV/cell
Spin magnetization: 0.00 μB per cell
Energy above the most stable polymorph in this dataset: 0.22 eV/f.u.

```
data_SmHgBi
_chemical_formula_sum 'Sm2 Hg2 Bi2'
_cell_length_a 8.307
_cell_length_b 8.307
_cell_length_c 4.703
_cell_angle_alpha 90.00
_cell_angle_beta 90.00
_cell_angle_gamma 147.79
_space_group_name_H-M_alt 'P 1'
_space_group_IT_number 1
_space_group_name_Hall 'P 1'
loop_
_atom_site_label
_atom_site_type_symbol
_atom_site_fract_x
_atom_site_fract_y
_atom_site_fract_z
_atom_site_occupancy
Sm1 Sm 0.093 0.907 0.750 1
Sm2 Sm 0.907 0.093 0.250 1
Hg1 Hg 0.440 0.560 0.750 1
Hg2 Hg 0.560 0.440 0.250 1
Bi1 Bi 0.249 0.751 0.250 1
Bi2 Bi 0.751 0.249 0.750 1
```

---

> Among the records above, which one has the lowest density of states at the Fermi level?

SmHgBi